1.
SrTiGa3 | GGA-PBE | relaxed

Computed properties:
formation energy from the elements: -0.15 eV per atom
distance to the lowest polymorph of the same formula: 0 meV/atom

Cell: 5.016 5.016 5.016 Å, 90.00 90.00 90.00°
Space group Pm-3m (No. 221)
Asymmetric unit:
Sr  0.000  0.000  0.000 [1 per cell]
Ti  0.500  0.500  0.500 [1 per cell]
Ga  0.000  0.500  0.500 [3 per cell]



2.
SrTiGa3 | GGA-PBE | relaxed

Computed properties:
formation energy from the elements: 1.35 eV per atom
distance to the lowest polymorph of the same formula: 1500 meV/atom

Cell: 5.432 5.432 5.432 Å, 90.00 90.00 90.00°
Space group Pm-3m (No. 221)
Asymmetric unit:
Sr  0.000  0.000  0.000 [1 per cell]
Ti  0.500  0.500  0.500 [1 per cell]
Ga  0.000  0.000  0.500 [3 per cell]



| no. | V (Å³ per cell) |
| --- | --- |
| 1 | 126.21 |
| 2 | 160.25 |